(1)
! PBE TbSmIn5, relaxed; values from VASP
! Crystal system: tetragonal
! SG: P4/mmm, No. 123
! DFT total energy, eV per atom: -3.62
&SYSTEM
  ibrav = 0, nat = 7, ntyp = 3
/
ATOMIC_SPECIES
Tb 158.93 Tb.upf
Sm 150.36 Sm.upf
In 114.82 In.upf
ATOMIC_POSITIONS crystal
Tb 0.0000 0.0000 0.0000
Sm 0.0000 0.0000 0.5000
In 0.0000 0.5000 0.2354
In 0.0000 0.5000 0.7646
In 0.5000 0.0000 0.2354
In 0.5000 0.0000 0.7646
In 0.5000 0.5000 0.5000
CELL_PARAMETERS angstrom
4.6947 0.0000 0.0000
0.0000 4.6947 0.0000
0.0000 0.0000 8.6362



(2)
! PBE SmInTe, relaxed; values from VASP
! Crystal system: cubic
! SG: F-43m, No. 216
! DFT total energy, eV per atom: -3.90
&SYSTEM
  ibrav = 0, nat = 3, ntyp = 3
/
ATOMIC_SPECIES
Sm 150.36 Sm.upf
In 114.82 In.upf
Te 127.60 Te.upf
ATOMIC_POSITIONS crystal
Sm 0.0000 0.0000 0.0000
In 0.7500 0.7500 0.7500
Te 0.2500 0.2500 0.2500
CELL_PARAMETERS angstrom
0.0000 3.7084 3.7084
3.7084 0.0000 3.7084
3.7084 3.7084 0.0000



(3)
! PBE SmInTe, relaxed; values from VASP
! Crystal system: cubic
! SG: F-43m, No. 216
! DFT total energy, eV per atom: -3.97
&SYSTEM
  ibrav = 0, nat = 3, ntyp = 3
/
ATOMIC_SPECIES
Sm 150.36 Sm.upf
In 114.82 In.upf
Te 127.60 Te.upf
ATOMIC_POSITIONS crystal
Sm 0.0000 0.0000 0.0000
In 0.5000 0.5000 0.5000
Te 0.7500 0.7500 0.7500
CELL_PARAMETERS angstrom
0.0000 3.6791 3.6791
3.6791 0.0000 3.6791
3.6791 3.6791 0.0000



(4)
! PBE SmTlInTe3, relaxed; values from VASP
! Crystal system: orthorhombic
! SG: Cmcm, No. 63
! DFT total energy, eV per atom: -3.88
&SYSTEM
  ibrav = 0, nat = 12, ntyp = 4
/
ATOMIC_SPECIES
Sm 150.36 Sm.upf
Tl 204.38 Tl.upf
In 114.82 In.upf
Te 127.60 Te.upf
ATOMIC_POSITIONS crystal
Sm 0.0000 0.0000 0.0000
Sm 0.0000 0.0000 0.5000
Tl 0.2342 0.7658 0.7500
Tl 0.7658 0.2342 0.2500
In 0.4655 0.5345 0.2500
In 0.5345 0.4655 0.7500
Te 0.0916 0.9084 0.2500
Te 0.3590 0.6410 0.0418
Te 0.3590 0.6410 0.4582
Te 0.6410 0.3590 0.5418
Te 0.6410 0.3590 0.9582
Te 0.9084 0.0916 0.7500
CELL_PARAMETERS angstrom
2.2781 -7.6919 0.0000
2.2781 7.6919 0.0000
0.0000 0.0000 11.6251